Density functional theory data (PBE+U) for CaTb2Mn3O9 after structural relaxation.

The value obtained for the final energy is -7.671 eV per atom. The value obtained for the total magnetic moment is 11.0 μB per formula unit.

Unit cell a=5.371 b=7.580 c=16.861 alpha=90.00 beta=90.00 gamma=90.00
Atoms (fractional coordinates):
Ca  0.509  0.250  0.852
Ca  0.991  0.250  0.352
Ca  0.491  0.750  0.148
Ca  0.009  0.750  0.648
Tb  0.522  0.250  0.189
Tb  0.514  0.250  0.521
Tb  0.978  0.250  0.689
Tb  0.986  0.250  0.021
Tb  0.478  0.750  0.811
Tb  0.486  0.750  0.479
Tb  0.014  0.750  0.979
Tb  0.022  0.750  0.311
Mn  0.995  0.001  0.834
Mn  0.005  0.999  0.166
Mn  0.000  0.000  0.500
Mn  0.495  0.501  0.666
Mn  0.500  0.500  0.000
Mn  0.505  0.499  0.334
Mn  0.995  0.499  0.834
Mn  0.005  0.501  0.166
Mn  0.000  0.500  0.500
Mn  0.495  0.999  0.666
Mn  0.500  0.000  0.000
Mn  0.505  0.001  0.334
O  0.804  0.045  0.936
O  0.797  0.048  0.265
O  0.791  0.057  0.600
O  0.703  0.452  0.765
O  0.709  0.443  0.100
O  0.696  0.455  0.436
O  0.203  0.548  0.735
O  0.196  0.545  0.064
O  0.209  0.557  0.400
O  0.291  0.943  0.900
O  0.297  0.952  0.235
O  0.304  0.955  0.564
O  0.203  0.952  0.735
O  0.196  0.955  0.064
O  0.209  0.943  0.400
O  0.291  0.557  0.900
O  0.297  0.548  0.235
O  0.304  0.545  0.564
O  0.804  0.455  0.936
O  0.797  0.452  0.265
O  0.791  0.443  0.600
O  0.703  0.048  0.765
O  0.709  0.057  0.100
O  0.696  0.045  0.436
O  0.400  0.250  0.990
O  0.414  0.250  0.323
O  0.392  0.250  0.656
O  0.086  0.250  0.823
O  0.108  0.250  0.156
O  0.100  0.250  0.490
O  0.586  0.750  0.677
O  0.600  0.750  0.010
O  0.608  0.750  0.344
O  0.892  0.750  0.844
O  0.914  0.750  0.177
O  0.900  0.750  0.510